! PmRuO3 SCAN PBEsol geometry; values from VASP
&SYSTEM
  ibrav = 0, nat = 5, ntyp = 3
/
ATOMIC_SPECIES
Pm 145.00 Pm.upf
Ru 101.07 Ru.upf
O 16.00 O.upf
ATOMIC_POSITIONS crystal
Pm 0.0000 0.0000 0.0000
Ru 0.5000 0.5000 0.5000
O 0.0000 0.5000 0.5000
O 0.5000 0.0000 0.5000
O 0.5000 0.5000 0.0000
CELL_PARAMETERS angstrom
3.8926 0.0000 0.0000
0.0000 3.8926 0.0000
0.0000 0.0000 3.8926
! **Total magnetic moment**: 0.96 μB/f.u.
! **Formation energy from raw total energies**: -2.11 eV per atom
! **V**: 11.797 Å³ per atom


! Pr7O12 SCAN PBEsol geometry; values from VASP
&SYSTEM
  ibrav = 0, nat = 19, ntyp = 2
/
ATOMIC_SPECIES
Pr 140.91 Pr.upf
O 16.00 O.upf
ATOMIC_POSITIONS crystal
Pr 0.0000 0.0000 0.0000
Pr 0.1387 0.3006 0.6089
Pr 0.3006 0.6089 0.1387
Pr 0.3911 0.8613 0.6994
Pr 0.6089 0.1387 0.3006
Pr 0.6994 0.3911 0.8613
Pr 0.8613 0.6994 0.3911
O 0.0578 0.3259 0.9340
O 0.0660 0.9422 0.6741
O 0.1783 0.5825 0.4395
O 0.3259 0.9340 0.0578
O 0.4175 0.5605 0.8217
O 0.4395 0.1783 0.5825
O 0.5605 0.8217 0.4175
O 0.5825 0.4395 0.1783
O 0.6741 0.0660 0.9422
O 0.8217 0.4175 0.5605
O 0.9340 0.0578 0.3259
O 0.9422 0.6741 0.0660
CELL_PARAMETERS angstrom
5.2497 3.0309 3.2472
-5.2497 3.0309 3.2472
0.0000 -6.0618 3.2472
! **Total magnetic moment**: 3.00 μB/f.u.
! **Formation energy from raw total energies**: -3.25 eV per atom
! **V**: 16.316 Å³ per atom


! Pr2ZnPtO6 SCAN PBEsol geometry; values from VASP
&SYSTEM
  ibrav = 0, nat = 20, ntyp = 4
/
ATOMIC_SPECIES
Pr 140.91 Pr.upf
Zn 65.41 Zn.upf
Pt 195.08 Pt.upf
O 16.00 O.upf
ATOMIC_POSITIONS crystal
Pr 0.2320 0.0667 0.2505
Pr 0.2320 0.4333 0.7505
Pr 0.7680 0.5667 0.2495
Pr 0.7680 0.9333 0.7495
Zn 0.5000 0.0000 0.0000
Zn 0.5000 0.5000 0.5000
Pt 0.0000 0.0000 0.5000
Pt 0.0000 0.5000 0.0000
O 0.1396 0.2059 0.9485
O 0.1396 0.2941 0.4485
O 0.2498 0.6979 0.9504
O 0.2498 0.8021 0.4504
O 0.3460 0.0276 0.7482
O 0.3460 0.4724 0.2482
O 0.6540 0.5276 0.7518
O 0.6540 0.9724 0.2518
O 0.7502 0.1979 0.5496
O 0.7502 0.3021 0.0496
O 0.8604 0.7059 0.5515
O 0.8604 0.7941 0.0515
CELL_PARAMETERS angstrom
5.4616 0.0000 0.0000
0.0000 5.7714 0.0000
-5.4458 0.0000 7.8119
! **Total magnetic moment**: 0.00 μB/f.u.
! **Formation energy from raw total energies**: -2.45 eV per atom
! **V**: 12.312 Å³ per atom


! RbPrO2 SCAN PBEsol geometry; values from VASP
&SYSTEM
  ibrav = 0, nat = 4, ntyp = 3
/
ATOMIC_SPECIES
Rb 85.47 Rb.upf
Pr 140.91 Pr.upf
O 16.00 O.upf
ATOMIC_POSITIONS crystal
Rb 0.0000 0.0000 0.0000
Pr 0.5000 0.5000 0.5000
O 0.2279 0.2279 0.2279
O 0.7721 0.7721 0.7721
CELL_PARAMETERS angstrom
1.8279 1.0553 6.5018
-1.8279 1.0553 6.5018
0.0000 -2.1106 6.5018
! **Total magnetic moment**: 0.03 μB/f.u.
! **Formation energy from raw total energies**: -2.81 eV per atom
! **V**: 18.813 Å³ per atom


! Pr3Re2O10 SCAN PBEsol geometry; values from VASP
&SYSTEM
  ibrav = 0, nat = 15, ntyp = 3
/
ATOMIC_SPECIES
Pr 140.91 Pr.upf
Re 186.21 Re.upf
O 16.00 O.upf
ATOMIC_POSITIONS crystal
Pr 0.0000 0.0000 0.0000
Pr 0.2558 0.7442 0.5000
Pr 0.7442 0.2558 0.5000
Re 0.3654 0.3654 0.8232
Re 0.6346 0.6346 0.1768
O 0.0913 0.0913 0.7167
O 0.1249 0.6060 0.7849
O 0.3278 0.3278 0.5264
O 0.3494 0.3494 0.0951
O 0.3940 0.8751 0.2151
O 0.6060 0.1249 0.7849
O 0.6506 0.6506 0.9049
O 0.6722 0.6722 0.4736
O 0.8751 0.3940 0.2151
O 0.9087 0.9087 0.2833
CELL_PARAMETERS angstrom
3.8872 -3.8665 0.0000
3.8872 3.8665 0.0000
-2.9880 0.0000 6.4225
! **Total magnetic moment**: 1.01 μB/f.u.
! **Formation energy from raw total energies**: -2.75 eV per atom
! **V**: 12.871 Å³ per atom


! Pr3Re2O9 SCAN PBEsol geometry; values from VASP
&SYSTEM
  ibrav = 0, nat = 28, ntyp = 3
/
ATOMIC_SPECIES
Pr 140.91 Pr.upf
Re 186.21 Re.upf
O 16.00 O.upf
ATOMIC_POSITIONS crystal
Pr 0.0012 0.2259 0.2704
Pr 0.2257 0.1600 0.8836
Pr 0.2843 0.5931 0.3783
Pr 0.7157 0.4069 0.6217
Pr 0.7743 0.8400 0.1164
Pr 0.9988 0.7741 0.7296
Re 0.3553 0.1240 0.5719
Re 0.4887 0.6120 0.9077
Re 0.5113 0.3880 0.0923
Re 0.6447 0.8760 0.4281
O 0.0633 0.1141 0.7133
O 0.1068 0.2508 0.4624
O 0.1391 0.8115 0.9364
O 0.1750 0.5128 0.1904
O 0.3001 0.4212 0.5907
O 0.3579 0.4741 0.8162
O 0.3815 0.8149 0.5828
O 0.3881 0.1672 0.0741
O 0.4077 0.9374 0.3143
O 0.5923 0.0626 0.6857
O 0.6119 0.8328 0.9259
O 0.6185 0.1851 0.4172
O 0.6421 0.5259 0.1838
O 0.6999 0.5788 0.4093
O 0.8250 0.4872 0.8096
O 0.8609 0.1885 0.0636
O 0.8932 0.7492 0.5376
O 0.9367 0.8859 0.2867
CELL_PARAMETERS angstrom
5.6060 0.0000 0.0000
2.4391 6.3311 0.0000
2.7725 1.5618 10.5574
! **Total magnetic moment**: 0.00 μB/f.u.
! **Formation energy from raw total energies**: -2.80 eV per atom
! **V**: 13.382 Å³ per atom